Record 1
The following is a PBE calculation of a geometry-optimized SiHg2Se structure, from Alexandria.

Unit cell a=5.0249 b=5.0249 c=5.0249 alpha=60.00 beta=60.00 gamma=60.00
With the nearest neighbours (Å) after each atom.
Sites, in units of the cell vectors:
Hg 0.2500 0.2500 0.2500  4 Si 3.08, 4 Se 3.08
Hg 0.7500 0.7500 0.7500  4 Si 3.08, 4 Se 3.08
Si 0.0000 0.0000 0.0000  8 Hg 3.08
Se 0.5000 0.5000 0.5000  8 Hg 3.08

Properties
total moment: 0.00 μB per cell
uncorrected energy: -1.824 eV/atom
distance to the lowest polymorph of the same formula: 0.537 eV per atom
calculated density: 9.41 Mg/m³



Record 2
The following is a PBE calculation of a geometry-optimized SiHgSe2 structure, from Alexandria.

Unit cell a=6.4830 b=6.4830 c=6.4830 alpha=150.27 beta=112.26 gamma=75.69
With the nearest neighbours (Å) after each atom.
Sites, in units of the cell vectors:
Hg 0.7500 0.2500 0.5000  2 Hg 3.33
Si 0.2500 0.7500 0.5000  4 Se 2.35
Se 0.4126 0.4126 0.0000  2 Si 2.35
Se 0.0874 0.0874 0.0000  2 Si 2.35

Properties
total moment: 0.00 μB per cell
uncorrected energy: -3.128 eV/atom
calculated density: 5.22 Mg/m³



Record 3
The following is a PBE calculation of a geometry-optimized SiHgSe2 structure, from Alexandria.

Unit cell a=3.7146 b=2.6669 c=9.9991 alpha=74.63 beta=90.00 gamma=90.00
With the nearest neighbours (Å) after each atom.
Sites, in units of the cell vectors:
Se 0.0000 0.4359 0.0628  2 Si 2.59, 2 Se 2.67
Se 0.0000 0.0641 0.4372  2 Si 2.59, 2 Se 2.67
Hg 0.5000 0.7500 0.7500  2 Hg 2.67
Si 0.5000 0.2500 0.2500  4 Se 2.59, 2 Si 2.67

Properties
total moment: 0.00 μB per cell
uncorrected energy: -3.214 eV/atom
calculated density: 6.72 Mg/m³